[1]
The following is a DFT calculation (PBE-GGA) of AgP2IrS after structural relaxation.

Values from the calculation:
Polymorph energy (0 for the lowest one) (eV/f.u.): 5.21
Space group: P4/mmm
DOS at the Fermi energy (states/eV/atom): 0.816

The structure in POSCAR format:
```
AgP2IrS
1.0
4.649 0.000 0.000
0.000 4.649 0.000
0.000 0.000 4.701
P S Ir Ag
2 1 1 1
direct
0.000 0.500 0.000
0.500 0.000 0.000
0.000 0.000 0.500
0.500 0.500 0.500
0.000 0.000 0.000
```

=====

[2]
The following is a DFT calculation (PBE-GGA) of ScMn2Tl3Se6 after structural relaxation.

Values from the calculation:
Space group: C2/m
Final energy (eV/atom): -5.07
DOS at the Fermi energy (states/eV/atom): 0.367

The structure in POSCAR format:
```
ScMn2Tl3Se6
1.0
6.716 0.003 0.009
-3.354 5.818 0.009
-1.110 -1.922 7.619
Sc Mn Tl Se
1 2 3 6
direct
0.000 0.000 0.000
0.333 0.667 0.000
0.667 0.333 0.000
0.161 0.839 0.500
0.839 0.161 0.500
0.500 0.500 0.500
0.938 0.590 0.811
0.714 0.714 0.185
0.062 0.410 0.189
0.590 0.938 0.811
0.286 0.286 0.815
0.410 0.062 0.189
```

=====

[3]
The following is a DFT calculation (PBE-GGA) of KCa2Cd after structural relaxation.

Values from the calculation:
Space group: R-3m
Energy of formation (meV/atom): -23.8
DOS at the Fermi energy (states/eV/atom): 0.968

The structure in POSCAR format:
```
KCa2Cd
1.0
-10.496 -5.602 0.499
-9.530 -6.249 -3.455
-8.053 -8.756 -0.536
Ca Cd K
2 1 1
direct
0.978 0.978 0.978
0.522 0.522 0.522
0.250 0.250 0.250
0.750 0.750 0.750
```

=====

[4]
The following is a DFT calculation (PBE-GGA) of Sr2CuHg after structural relaxation.

Values from the calculation:
Polymorph energy (0 for the lowest one) (eV/f.u.): 0.85
Space group: I-4m2
Energy of formation (meV/atom): -68.5
DOS at the Fermi energy (states/eV/atom): 0.798

The structure in POSCAR format:
```
Sr2CuHg
1.0
6.660 -0.002 0.000
3.433 5.706 0.000
-5.046 -2.852 3.278
Cu Hg Sr
1 1 2
direct
0.500 0.500 0.000
0.750 0.250 0.500
0.000 0.000 0.000
0.250 0.750 0.500
```

=====

[5]
The following is a DFT calculation (PBE-GGA) of Pr3Nd3Er4 after structural relaxation.

Values from the calculation:
Space group: Amm2
Energy of formation (meV/atom): 91.0
DOS at the Fermi energy (states/eV/atom): 0.966

The structure in POSCAR format:
```
Pr3Nd3Er4
1.0
-0.156 2.373 -2.786
-9.685 -0.170 0.399
0.132 7.384 6.280
Pr Nd Er
3 3 4
direct
0.500 0.825 0.175
0.500 0.325 0.325
0.500 0.675 0.675
0.000 0.499 0.000
0.000 0.000 0.501
0.500 0.175 0.825
0.000 0.622 0.378
0.000 0.378 0.622
0.000 0.879 0.878
0.000 0.122 0.121
```

=====

[6]
The following is a DFT calculation (PBE-GGA) of Th2InP3Rh12 after structural relaxation.

Values from the calculation:
Space group: R-3m
Energy of formation (meV/atom): -361.7
DOS at the Fermi energy (states/eV/atom): 0.966

The structure in POSCAR format:
```
Th2InP3Rh12
1.0
-4.546 2.719 -4.553
-5.600 1.507 3.894
0.470 6.890 1.047
Th In P Rh
2 1 3 12
direct
0.610 0.610 0.610
0.390 0.390 0.390
0.000 0.000 0.000
0.500 0.000 0.000
0.000 0.500 0.000
0.000 0.000 0.500
0.335 0.335 0.906
0.840 0.840 0.369
0.369 0.840 0.840
0.906 0.335 0.335
0.840 0.369 0.840
0.335 0.906 0.335
0.665 0.665 0.094
0.160 0.160 0.631
0.631 0.160 0.160
0.094 0.665 0.665
0.160 0.631 0.160
0.665 0.094 0.665
```

=====

[7]
The following is a DFT calculation (PBE-GGA) of Sm5YCd after structural relaxation.

Values from the calculation:
Space group: C2/c
Energy of formation (meV/atom): 9.9
DOS at the Fermi energy (states/eV/atom): 1.295

The structure in POSCAR format:
```
Sm5YCd
1.0
-9.106 -2.803 -0.782
1.983 -8.650 -3.552
-1.941 -5.248 3.307
Sm Y Cd
10 2 2
direct
0.843 0.678 0.102
0.346 0.993 0.975
0.678 0.843 0.602
0.719 0.281 0.250
0.007 0.654 0.525
0.993 0.346 0.475
0.281 0.719 0.750
0.322 0.157 0.398
0.654 0.007 0.025
0.157 0.322 0.898
0.431 0.569 0.250
0.569 0.431 0.750
0.000 0.000 0.000
0.000 0.000 0.500
```

=====

[8]
The following is a DFT calculation (PBE-GGA) of OsRu2Br after structural relaxation.

Values from the calculation:
Polymorph energy (0 for the lowest one) (eV/f.u.): 1.64
Space group: Cmmm
DOS at the Fermi energy (states/eV/atom): 1.002

The structure in POSCAR format:
```
OsRu2Br
1.0
4.718 0.023 -0.007
-1.310 4.533 -0.007
0.003 0.005 2.836
Ru Os Br
2 1 1
direct
0.000 0.000 0.000
0.500 0.500 0.000
0.000 0.500 0.500
0.500 0.000 0.500
```

=====

[9]
The following is a DFT calculation (PBE-GGA) of MgTl12Hg7 after structural relaxation.

Values from the calculation:
Polymorph energy (0 for the lowest one) (eV/f.u.): 0.00
Space group: R-3m
Energy of formation (meV/atom): 15.2
DOS at the Fermi energy (states/eV/atom): 0.545

The structure in POSCAR format:
```
MgTl12Hg7
1.0
6.056 0.000 -1.101
-2.968 9.193 -4.855
-0.120 0.000 10.811
Mg Tl Hg
1 12 7
direct
0.000 0.000 0.000
0.091 0.591 0.182
0.091 0.182 0.591
0.570 0.656 0.000
0.430 0.000 0.344
0.499 0.409 0.591
0.086 0.656 0.656
0.914 0.344 0.344
0.501 0.591 0.409
0.570 0.000 0.656
0.430 0.344 0.000
0.909 0.818 0.409
0.908 0.409 0.818
0.118 0.756 0.000
0.883 0.000 0.245
0.638 0.755 0.756
0.500 0.000 0.000
0.362 0.245 0.244
0.117 0.000 0.755
0.882 0.244 0.000
```

=====

[10]
The following is a DFT calculation (PBE-GGA) of Ba3Li2Pb3 after structural relaxation.

Values from the calculation:
Space group: Pnma
Energy of formation (meV/atom): -434.1
DOS at the Fermi energy (states/eV/atom): 0.940

The structure in POSCAR format:
```
Ba3Li2Pb3
1.0
6.399 0.000 0.000
0.000 9.889 0.000
0.000 0.000 17.723
Ba Li Pb
12 8 12
direct
0.112 0.451 0.388
0.612 0.049 0.612
0.888 0.549 0.888
0.388 0.951 0.112
0.888 0.549 0.612
0.388 0.951 0.388
0.112 0.451 0.112
0.612 0.049 0.888
0.583 0.297 0.250
0.083 0.203 0.750
0.417 0.703 0.750
0.917 0.797 0.250
0.902 0.089 0.406
0.402 0.411 0.594
0.098 0.911 0.906
0.598 0.589 0.094
0.098 0.911 0.594
0.598 0.589 0.406
0.902 0.089 0.094
0.402 0.411 0.906
0.072 0.145 0.250
0.572 0.355 0.750
0.928 0.855 0.750
0.428 0.645 0.250
0.618 0.295 0.462
0.118 0.205 0.538
0.382 0.705 0.962
0.882 0.795 0.038
0.382 0.705 0.538
0.882 0.795 0.462
0.618 0.295 0.038
0.118 0.205 0.962
```

=====

[11]
The following is a DFT calculation (PBE-GGA) of La2PrGa after structural relaxation.

Values from the calculation:
Polymorph energy (0 for the lowest one) (eV/f.u.): 0.09
Space group: Cmcm
Energy of formation (meV/atom): -238.3
DOS at the Fermi energy (states/eV/atom): 1.040

The structure in POSCAR format:
```
La2PrGa
1.0
5.491 0.000 0.000
-2.745 6.162 0.000
0.000 0.000 7.331
La Pr Ga
4 2 2
direct
0.371 0.742 0.969
0.629 0.258 0.031
0.629 0.258 0.469
0.371 0.742 0.531
0.068 0.137 0.750
0.932 0.863 0.250
0.823 0.645 0.750
0.177 0.355 0.250
```

=====

[12]
The following is a DFT calculation (PBE-GGA) of KZrMn2Re after structural relaxation.

Values from the calculation:
Space group: P4/mmm
Energy of formation (meV/atom): 1577.5
DOS at the Fermi energy (states/eV/atom): 0.729

The structure in POSCAR format:
```
KZrMn2Re
1.0
5.186 0.000 0.000
0.000 5.012 0.000
0.000 0.000 5.186
Re K Mn Zr
1 1 2 1
direct
0.000 0.500 0.000
0.500 0.500 0.500
0.000 0.000 0.500
0.500 0.000 0.000
0.000 0.000 0.000
```